A plane-wave DFT calculation with PBE was carried out for a relaxed ScTl2BS4 crystal.

a = 9.287 Å, b = 12.225 Å, c = 7.226 Å
α = 90.00°, β = 90.90°, γ = 90.00°
Space group C2/c (No. 15)
Asymmetric unit:
1 Sc 0.000 0.000 0.000 [4 per cell]
2 Tl 0.000 0.500 0.000 [4 per cell]
3 Tl 0.250 0.250 0.000 [4 per cell]
4 B 0.250 0.250 0.500 [4 per cell]
5 S 0.071 0.239 0.520 [8 per cell]
6 S 0.193 0.004 0.253 [8 per cell]

Properties
The value obtained for the theoretical density is 4.80 g/cm³. Its electronic total energy is -157.6 eV for the cell shown.

A plane-wave DFT calculation with PBE was carried out for a relaxed B3SeS crystal.

a = 4.154 Å, b = 4.154 Å, c = 4.154 Å
α = 90.00°, β = 90.00°, γ = 90.00°
Space group Pm-3m (No. 221)
Asymmetric unit:
1 B 0.000 0.000 0.500 [3 per cell]
2 Se 0.000 0.000 0.000 [1 per cell]
3 S 0.500 0.500 0.500 [1 per cell]

Properties
The value obtained for the theoretical density is 3.32 g/cm³. Its electronic total energy is -17.3 eV for the cell shown. The distance to the lowest polymorph of the same formula is 0.424 eV/atom.

A plane-wave DFT calculation with PBE was carried out for a relaxed BSe3S crystal.

a = 4.458 Å, b = 4.458 Å, c = 4.458 Å
α = 90.00°, β = 90.00°, γ = 90.00°
Space group Pm-3m (No. 221)
Asymmetric unit:
1 B 0.000 0.000 0.000 [1 per cell]
2 Se 0.000 0.000 0.500 [3 per cell]
3 S 0.500 0.500 0.500 [1 per cell]

Properties
The value obtained for the theoretical density is 5.24 g/cm³. Its electronic total energy is -16.6 eV for the cell shown. The distance to the lowest polymorph of the same formula is 0.000 eV/atom.

A plane-wave DFT calculation with PBE was carried out for a relaxed B2SeS2 crystal.

a = 6.026 Å, b = 6.026 Å, c = 8.832 Å
α = 90.00°, β = 90.00°, γ = 90.00°
Space group I4_1md (No. 109)
Asymmetric unit:
1 B 0.000 0.223 0.000 [8 per cell]
2 Se 0.000 0.000 0.616 [4 per cell]
3 S 0.000 0.264 0.216 [8 per cell]

Properties
The value obtained for the theoretical density is 3.41 g/cm³. Its electronic total energy is -105.8 eV for the cell shown.

A plane-wave DFT calculation with PBE was carried out for a relaxed BSeS crystal.

a = 3.422 Å, b = 5.011 Å, c = 6.696 Å
α = 103.29°, β = 102.44°, γ = 90.40°
Space group P1 (No. 1)
Asymmetric unit:
1 B 0.000 0.000 0.000 [1 per cell]
2 B 0.378 0.409 0.716 [1 per cell]
3 Se 0.488 0.731 0.987 [1 per cell]
4 Se 0.886 0.154 0.732 [1 per cell]
5 S 0.277 0.522 0.465 [1 per cell]
6 S 0.935 0.173 0.268 [1 per cell]

Properties
The value obtained for the theoretical density is 3.71 g/cm³. Its electronic total energy is -28.7 eV for the cell shown. The distance to the lowest polymorph of the same formula is 0.211 eV/atom.

A plane-wave DFT calculation with PBE was carried out for a relaxed BSe2S2 crystal.

a = 3.625 Å, b = 3.625 Å, c = 19.319 Å
α = 90.00°, β = 90.00°, γ = 90.00°
Space group I4/mmm (No. 139)
Asymmetric unit:
1 B 0.000 0.000 0.000 [2 per cell]
2 Se 0.000 0.500 0.250 [4 per cell]
3 S 0.000 0.000 0.449 [4 per cell]

Properties
The value obtained for the theoretical density is 3.05 g/cm³. Its electronic total energy is -33.9 eV for the cell shown. The distance to the lowest polymorph of the same formula is 0.488 eV/atom.

The records above give, respectively, energy relative to the elements, uncorrected values of -496.6 1001.3 453.0 -129.8 -3.8 476.3 kJ/mol of formula units.